Below is a relaxed Ac5Mg4Au crystal, with properties calculated at the PBE-GGA level.

M_tot   0.0 μB/cell
Crystal system   tetragonal
VASP energy   -3.2376 eV/atom
Calculated formation energy   -0.2178 eV per atom

Unit cell a=4.0728 b=4.0728 c=20.3051 alpha=90.00 beta=90.00 gamma=90.00
With the nearest neighbours (Å) after each atom.
Sites, in units of the cell vectors:
Au1 0.0000 0.0000 0.0000  8 Ac 3.42
Mg1 0.0000 0.0000 0.8034  8 Ac 3.51-3.59
Mg2 0.0000 0.0000 0.1966  8 Ac 3.51-3.59
Ac1 0.5000 0.5000 0.0909  4 Au 3.42, 4 Mg 3.59, 1 Ac 3.69
Ac2 0.5000 0.5000 0.7048  8 Mg 3.51-3.55
Mg3 0.0000 0.0000 0.3973  8 Ac 3.55-3.56
Mg4 0.0000 0.0000 0.6027  8 Ac 3.55-3.56
Ac3 0.5000 0.5000 0.2952  8 Mg 3.51-3.55
Ac4 0.5000 0.5000 0.9091  4 Au 3.42, 4 Mg 3.59, 1 Ac 3.69
Ac5 0.5000 0.5000 0.5000  8 Mg 3.56